[1]
Compound: PmAlNi
Source: the Alexandria database
Functional: GGA-PBE
Structure: optimized geometry

CIF file:
```
data_PmAlNi
_chemical_formula_sum 'Pm1 Al1 Ni1'
_cell_length_a 3.895
_cell_length_b 4.285
_cell_length_c 4.285
_cell_angle_alpha 120.00
_cell_angle_beta 90.00
_cell_angle_gamma 90.00
_space_group_name_H-M_alt 'P 1'
_space_group_IT_number 1
loop_
_space_group_symop_operation_xyz
'x,y,z'
loop_
_atom_site_label
_atom_site_fract_x
_atom_site_fract_y
_atom_site_fract_z
_atom_site_occupancy
Ni1 0.167 0.000 0.000 1
Al1 0.167 0.333 0.667 1
Pm1 0.667 0.667 0.333 1
```

**Energy relative to the lowest polymorph listed for this composition**: 88 meV/atom
**SG**: P-6m2 (187)



[2]
Compound: Pm3Al4Ni2
Source: the Alexandria database
Functional: GGA-PBE
Structure: optimized geometry

CIF file:
```
data_Pm3Al4Ni2
_chemical_formula_sum 'Pm3 Al4 Ni2'
_cell_length_a 4.235
_cell_length_b 5.949
_cell_length_c 8.436
_cell_angle_alpha 105.88
_cell_angle_beta 90.00
_cell_angle_gamma 110.85
_space_group_name_H-M_alt 'P 1'
_space_group_IT_number 1
loop_
_space_group_symop_operation_xyz
'x,y,z'
loop_
_atom_site_label
_atom_site_fract_x
_atom_site_fract_y
_atom_site_fract_z
_atom_site_occupancy
Pm1 0.377 0.755 0.622 1
Pm2 0.000 0.000 0.000 1
Pm3 0.623 0.245 0.378 1
Al1 0.716 0.431 0.069 1
Al2 0.092 0.184 0.655 1
Al3 0.908 0.816 0.345 1
Al4 0.284 0.569 0.931 1
Ni1 0.311 0.621 0.231 1
Ni2 0.689 0.379 0.769 1
```

**SG**: C2/m (12)



[3]
Compound: PmAlNi
Source: the Alexandria database
Functional: GGA-PBE
Structure: optimized geometry

CIF file:
```
data_PmAlNi
_chemical_formula_sum 'Pm4 Al4 Ni4'
_cell_length_a 4.570
_cell_length_b 6.801
_cell_length_c 7.440
_cell_angle_alpha 90.00
_cell_angle_beta 90.00
_cell_angle_gamma 90.00
_space_group_name_H-M_alt 'P 1'
_space_group_IT_number 1
loop_
_space_group_symop_operation_xyz
'x,y,z'
loop_
_atom_site_label
_atom_site_fract_x
_atom_site_fract_y
_atom_site_fract_z
_atom_site_occupancy
Pm1 0.250 0.821 0.465 1
Pm2 0.750 0.321 0.035 1
Pm3 0.250 0.679 0.965 1
Pm4 0.750 0.179 0.535 1
Al1 0.750 0.891 0.179 1
Al2 0.750 0.609 0.679 1
Al3 0.250 0.109 0.821 1
Al4 0.250 0.391 0.321 1
Ni1 0.750 0.576 0.347 1
Ni2 0.750 0.924 0.847 1
Ni3 0.250 0.076 0.153 1
Ni4 0.250 0.424 0.653 1
```

**Energy relative to the lowest polymorph listed for this composition**: 0 meV/atom
**SG**: Pnma (62)



[4]
Compound: Pm2AlNi5
Source: the Alexandria database
Functional: GGA-PBE
Structure: optimized geometry

CIF file:
```
data_Pm2AlNi5
_chemical_formula_sum 'Pm2 Al1 Ni5'
_cell_length_a 5.789
_cell_length_b 5.789
_cell_length_c 5.789
_cell_angle_alpha 90.28
_cell_angle_beta 119.84
_cell_angle_gamma 119.84
_space_group_name_H-M_alt 'P 1'
_space_group_IT_number 1
loop_
_space_group_symop_operation_xyz
'x,y,z'
loop_
_atom_site_label
_atom_site_fract_x
_atom_site_fract_y
_atom_site_fract_z
_atom_site_occupancy
Pm1 0.500 0.242 0.742 1
Pm2 0.500 0.742 0.242 1
Al1 0.000 0.979 0.979 1
Ni1 0.422 0.706 0.706 1
Ni2 0.000 0.706 0.284 1
Ni3 0.000 0.284 0.706 1
Ni4 0.578 0.284 0.284 1
Ni5 0.000 0.280 0.280 1
```

**SG**: I4mm (107)



[5]
Compound: Pm3Al4Ni3
Source: the Alexandria database
Functional: GGA-PBE
Structure: optimized geometry

CIF file:
```
data_Pm3Al4Ni3
_chemical_formula_sum 'Pm6 Al8 Ni6'
_cell_length_a 8.058
_cell_length_b 8.058
_cell_length_c 8.058
_cell_angle_alpha 109.47
_cell_angle_beta 109.47
_cell_angle_gamma 109.47
_space_group_name_H-M_alt 'P 1'
_space_group_IT_number 1
loop_
_space_group_symop_operation_xyz
'x,y,z'
loop_
_atom_site_label
_atom_site_fract_x
_atom_site_fract_y
_atom_site_fract_z
_atom_site_occupancy
Pm1 0.625 0.750 0.875 1
Pm2 0.875 0.250 0.625 1
Pm3 0.125 0.375 0.250 1
Pm4 0.375 0.125 0.750 1
Pm5 0.250 0.875 0.125 1
Pm6 0.750 0.625 0.375 1
Al1 0.000 0.000 0.347 1
Al2 0.500 0.347 0.500 1
Al3 0.653 0.153 0.153 1
Al4 0.000 0.000 0.847 1
Al5 0.847 0.500 0.000 1
Al6 0.500 0.847 0.500 1
Al7 0.347 0.500 0.000 1
Al8 0.153 0.653 0.653 1
Ni1 0.125 0.750 0.375 1
Ni2 0.375 0.250 0.125 1
Ni3 0.625 0.875 0.250 1
Ni4 0.875 0.625 0.750 1
Ni5 0.250 0.375 0.625 1
Ni6 0.750 0.125 0.875 1
```

**SG**: I-43d (220)



[6]
Compound: PmAlNi
Source: the Alexandria database
Functional: GGA-PBE
Structure: optimized geometry

CIF file:
```
data_PmAlNi
_chemical_formula_sum 'Pm1 Al1 Ni1'
_cell_length_a 4.505
_cell_length_b 4.505
_cell_length_c 4.505
_cell_angle_alpha 60.00
_cell_angle_beta 60.00
_cell_angle_gamma 60.00
_space_group_name_H-M_alt 'P 1'
_space_group_IT_number 1
loop_
_space_group_symop_operation_xyz
'x,y,z'
loop_
_atom_site_label
_atom_site_fract_x
_atom_site_fract_y
_atom_site_fract_z
_atom_site_occupancy
Ni1 0.250 0.250 0.250 1
Al1 0.500 0.500 0.500 1
Pm1 0.000 0.000 0.000 1
```

**Energy relative to the lowest polymorph listed for this composition**: 227 meV/atom
**SG**: F-43m (216)



[7]
Compound: PmAl6Ni2
Source: the Alexandria database
Functional: GGA-PBE
Structure: optimized geometry

CIF file:
```
data_PmAl6Ni2
_chemical_formula_sum 'Pm2 Al12 Ni4'
_cell_length_a 8.094
_cell_length_b 8.094
_cell_length_c 8.094
_cell_angle_alpha 60.00
_cell_angle_beta 60.00
_cell_angle_gamma 60.00
_space_group_name_H-M_alt 'P 1'
_space_group_IT_number 1
loop_
_space_group_symop_operation_xyz
'x,y,z'
loop_
_atom_site_label
_atom_site_fract_x
_atom_site_fract_y
_atom_site_fract_z
_atom_site_occupancy
Pm1 0.500 0.500 0.500 1
Pm2 0.750 0.750 0.750 1
Al1 0.223 0.223 0.777 1
Al2 0.777 0.777 0.223 1
Al3 0.223 0.777 0.223 1
Al4 0.223 0.777 0.777 1
Al5 0.473 0.473 0.027 1
Al6 0.473 0.027 0.027 1
Al7 0.777 0.223 0.777 1
Al8 0.027 0.027 0.473 1
Al9 0.473 0.027 0.473 1
Al10 0.027 0.473 0.473 1
Al11 0.777 0.223 0.223 1
Al12 0.027 0.473 0.027 1
Ni1 0.125 0.125 0.125 1
Ni2 0.125 0.625 0.125 1
Ni3 0.125 0.125 0.625 1
Ni4 0.625 0.125 0.125 1
```

**SG**: Fd-3m (227)



[8]
Compound: PmAl2Ni6
Source: the Alexandria database
Functional: GGA-PBE
Structure: optimized geometry

CIF file:
```
data_PmAl2Ni6
_chemical_formula_sum 'Pm1 Al2 Ni6'
_cell_length_a 3.571
_cell_length_b 6.915
_cell_length_c 6.915
_cell_angle_alpha 53.98
_cell_angle_beta 75.04
_cell_angle_gamma 75.04
_space_group_name_H-M_alt 'P 1'
_space_group_IT_number 1
loop_
_space_group_symop_operation_xyz
'x,y,z'
loop_
_atom_site_label
_atom_site_fract_x
_atom_site_fract_y
_atom_site_fract_z
_atom_site_occupancy
Pm1 0.000 0.000 0.000 1
Al1 0.870 0.630 0.630 1
Al2 0.130 0.370 0.370 1
Ni1 0.689 0.013 0.608 1
Ni2 0.311 0.987 0.392 1
Ni3 0.311 0.392 0.987 1
Ni4 0.500 0.675 0.325 1
Ni5 0.500 0.325 0.675 1
Ni6 0.689 0.608 0.013 1
```

**SG**: Immm (71)



The records above give, respectively, magnetic moment values of 0.0 0.0 0.0 0.0 0.0 0.0 0.0 0.0 μB per cell.
The records above give, respectively, energy relative to the elements values of -1.28 -4.05 -1.54 -2.22 -3.96 -0.86 0.33 -1.45 eV/f.u..